# MgCuTc2, relaxed, DFT PBE
data_MgCuTc2
_symmetry_space_group_name_H-M 'P 1'
_symmetry_Int_Tables_number 1
_cell_length_a 2.692
_cell_length_b 2.692
_cell_length_c 8.863
_cell_angle_alpha 90.00
_cell_angle_beta 90.00
_cell_angle_gamma 111.32
loop_
_symmetry_equiv_pos_as_xyz
'x,y,z'
loop_
_atom_site_label
_atom_site_type_symbol
_atom_site_fract_x
_atom_site_fract_y
_atom_site_fract_z
Tc1 Tc 0.500 0.500 0.249
Tc2 Tc 0.000 0.000 0.011
Cu1 Cu 0.000 0.000 0.495
Mg1 Mg 0.500 0.500 0.744
# - theoretical density (g/cm3) = 7.88
# - DOS(E_F) (states/eV/atom) = 0.7497
# - DFT formation energy (meV/atom) = 223

# Zn4CoCu, relaxed, DFT PBE
data_Zn4CoCu
_symmetry_space_group_name_H-M 'P 1'
_symmetry_Int_Tables_number 1
_cell_length_a 4.988
_cell_length_b 4.988
_cell_length_c 8.416
_cell_angle_alpha 90.00
_cell_angle_beta 90.00
_cell_angle_gamma 116.48
loop_
_symmetry_equiv_pos_as_xyz
'x,y,z'
loop_
_atom_site_label
_atom_site_type_symbol
_atom_site_fract_x
_atom_site_fract_y
_atom_site_fract_z
Zn1 Zn 0.499 0.000 0.250
Zn2 Zn 0.758 0.758 0.000
Zn3 Zn 0.242 0.242 0.500
Zn4 Zn 0.758 0.758 0.500
Zn5 Zn 0.001 0.500 0.750
Zn6 Zn 0.999 0.500 0.250
Zn7 Zn 0.242 0.242 0.000
Zn8 Zn 0.501 0.000 0.750
Cu1 Cu 0.500 0.500 0.250
Cu2 Cu 0.500 0.500 0.750
Co1 Co 0.001 0.000 0.750
Co2 Co 0.999 0.000 0.250
# - theoretical density (g/cm3) = 6.81
# - DOS(E_F) (states/eV/atom) = 0.4140
# - DFT formation energy (meV/atom) = -30

# Y3Al7Ga2, relaxed, DFT PBE
data_Y3Al7Ga2
_symmetry_space_group_name_H-M 'P 1'
_symmetry_Int_Tables_number 1
_cell_length_a 4.104
_cell_length_b 4.236
_cell_length_c 14.014
_cell_angle_alpha 98.71
_cell_angle_beta 90.00
_cell_angle_gamma 90.00
loop_
_symmetry_equiv_pos_as_xyz
'x,y,z'
loop_
_atom_site_label
_atom_site_type_symbol
_atom_site_fract_x
_atom_site_fract_y
_atom_site_fract_z
Y1 Y 0.000 0.819 0.638
Y2 Y 0.000 0.181 0.362
Y3 Y 0.500 0.500 0.000
Al1 Al 0.500 0.727 0.455
Al2 Al 0.500 0.273 0.545
Al3 Al 0.000 0.000 0.000
Al4 Al 0.000 0.416 0.838
Al5 Al 0.500 0.919 0.837
Al6 Al 0.000 0.584 0.162
Al7 Al 0.500 0.081 0.163
Ga1 Ga 0.500 0.637 0.277
Ga2 Ga 0.500 0.363 0.723
# - theoretical density (g/cm3) = 4.10
# - DOS(E_F) (states/eV/atom) = 0.3247
# - DFT formation energy (meV/atom) = -402

# Pr3Tl3Ag2, relaxed, DFT PBE
data_Pr3Tl3Ag2
_symmetry_space_group_name_H-M 'P 1'
_symmetry_Int_Tables_number 1
_cell_length_a 4.699
_cell_length_b 5.056
_cell_length_c 9.771
_cell_angle_alpha 105.13
_cell_angle_beta 103.91
_cell_angle_gamma 90.00
loop_
_symmetry_equiv_pos_as_xyz
'x,y,z'
loop_
_atom_site_label
_atom_site_type_symbol
_atom_site_fract_x
_atom_site_fract_y
_atom_site_fract_z
Pr1 Pr 0.857 0.357 0.715
Pr2 Pr 0.143 0.643 0.285
Pr3 Pr 0.000 0.000 0.000
Tl1 Tl 0.500 0.500 0.000
Tl2 Tl 0.359 0.859 0.718
Tl3 Tl 0.641 0.141 0.282
Ag1 Ag 0.755 0.754 0.510
Ag2 Ag 0.245 0.246 0.490
# - theoretical density (g/cm3) = 9.57
# - DOS(E_F) (states/eV/atom) = 0.7514
# - DFT formation energy (meV/atom) = -287